(1)
CsSmSnO3, optimized geometry, DFT PBE; raw total energy = -6.249 eV per atom
1.0
-2.741 2.194 -0.746
-1.635 1.395 10.108
4.959 6.064 -0.389
Cs Sm Sn O
2 2 2 6
Direct
0.750 0.732 0.670 Cs
0.250 0.268 0.330 Cs
0.250 0.622 0.113 Sm
0.750 0.378 0.887 Sm
0.250 0.104 0.759 Sn
0.750 0.896 0.241 Sn
0.250 0.795 0.338 O
0.750 0.761 0.042 O
0.750 0.482 0.157 O
0.750 0.205 0.662 O
0.250 0.518 0.843 O
0.250 0.239 0.958 O

***

(2)
Cs3SmTa2O8, optimized geometry, DFT PBE; raw total energy = -7.713 eV per atom
1.0
-2.808 -5.284 -2.377
6.377 0.748 -0.477
1.021 -3.920 7.509
Cs Sm Ta O
3 1 2 8
Direct
0.333 0.667 0.722 Cs
0.667 0.333 0.278 Cs
0.000 0.000 0.000 Cs
0.000 0.000 0.500 Sm
0.333 0.667 0.270 Ta
0.667 0.333 0.730 Ta
0.333 0.667 0.056 O
0.667 0.333 0.944 O
0.173 0.827 0.340 O
0.827 0.173 0.660 O
0.173 0.345 0.340 O
0.827 0.655 0.660 O
0.655 0.827 0.340 O
0.345 0.173 0.660 O

***

(3)
Cs3TbSm2O6, optimized geometry, DFT PBE; raw total energy = -6.434 eV per atom
1.0
-4.296 -4.461 1.067
6.043 -1.566 -0.726
0.411 2.684 6.703
Cs Tb Sm O
3 1 2 6
Direct
0.166 0.834 0.500 Cs
0.834 0.166 0.500 Cs
0.500 0.500 0.500 Cs
0.000 0.000 0.000 Tb
0.333 0.667 0.000 Sm
0.667 0.333 0.000 Sm
0.944 0.616 0.833 O
0.727 0.727 0.167 O
0.056 0.384 0.167 O
0.616 0.944 0.833 O
0.273 0.273 0.833 O
0.384 0.056 0.167 O

***

(4)
Cs2SmTcO6, optimized geometry, DFT PBE; raw total energy = -6.514 eV per atom
1.0
5.898 0.000 0.000
0.000 6.709 0.000
0.000 -3.355 5.810
Cs Sm Tc O
2 1 1 6
Direct
0.130 0.333 0.667 Cs
0.870 0.667 0.333 Cs
0.500 0.000 0.000 Sm
0.000 0.000 0.000 Tc
0.802 0.131 0.262 O
0.802 0.131 0.869 O
0.802 0.738 0.869 O
0.198 0.869 0.131 O
0.198 0.262 0.131 O
0.198 0.869 0.738 O

***

(5)
Cs2SmTe2O6, optimized geometry, DFT PBE; raw total energy = -5.540 eV per atom
1.0
-0.822 -5.328 3.517
5.008 0.588 -3.830
1.631 4.439 7.106
Cs Sm Te O
2 1 2 6
Direct
0.775 0.549 0.296 Cs
0.225 0.451 0.704 Cs
0.500 0.000 0.500 Sm
0.914 0.828 0.774 Te
0.086 0.172 0.226 Te
0.727 0.454 0.653 O
0.283 0.099 0.342 O
0.185 0.901 0.658 O
0.717 0.901 0.658 O
0.815 0.099 0.342 O
0.273 0.546 0.347 O

***

(6)
Cs3SmTe2O9, optimized geometry, DFT PBE; raw total energy = -5.383 eV per atom
1.0
-2.321 4.846 2.892
-2.986 -2.454 -4.721
-3.661 -4.545 4.678
Cs Sm Te O
3 1 2 9
Direct
0.333 0.667 0.668 Cs
0.000 0.000 0.000 Cs
0.667 0.333 0.332 Cs
0.000 0.000 0.500 Sm
0.333 0.667 0.169 Te
0.667 0.333 0.831 Te
0.819 0.181 0.688 O
0.819 0.637 0.688 O
0.363 0.181 0.688 O
0.637 0.819 0.312 O
0.181 0.363 0.312 O
0.181 0.819 0.312 O
0.500 0.000 0.000 O
0.000 0.500 0.000 O
0.500 0.500 0.000 O

***

(7)
Cs2SmTeO6, optimized geometry, DFT PBE; raw total energy = -5.610 eV per atom
1.0
6.046 0.000 0.000
0.000 6.905 0.000
0.000 -3.452 5.980
Cs Sm Te O
2 1 1 6
Direct
0.114 0.333 0.667 Cs
0.886 0.667 0.333 Cs
0.500 0.000 0.000 Sm
0.000 0.000 0.000 Te
0.800 0.129 0.259 O
0.800 0.129 0.871 O
0.800 0.741 0.871 O
0.200 0.871 0.129 O
0.200 0.259 0.129 O
0.200 0.871 0.741 O

***

(8)
CsSmTe2O8, optimized geometry, DFT PBE; raw total energy = -5.870 eV per atom
1.0
-4.300 0.464 -4.141
5.646 -1.104 -1.658
-1.552 -8.866 0.618
Cs Sm Te O
1 1 2 8
Direct
0.000 0.000 0.000 Cs
0.000 0.000 0.500 Sm
0.667 0.333 0.271 Te
0.333 0.667 0.729 Te
0.333 0.667 0.931 O
0.342 0.240 0.342 O
0.760 0.102 0.342 O
0.667 0.333 0.069 O
0.240 0.898 0.658 O
0.658 0.760 0.658 O
0.102 0.342 0.658 O
0.898 0.658 0.342 O

***

(9)
Cs2SmTi2O7, optimized geometry, DFT PBE; raw total energy = -7.339 eV per atom
1.0
-0.715 -1.509 -3.575
2.137 -3.187 0.918
-9.477 -7.916 3.060
Cs Sm Ti O
2 1 2 7
Direct
0.815 0.815 0.371 Cs
0.185 0.185 0.629 Cs
0.000 0.000 0.000 Sm
0.583 0.583 0.834 Ti
0.417 0.417 0.166 Ti
0.500 0.500 0.000 O
0.345 0.345 0.310 O
0.655 0.655 0.690 O
0.932 0.432 0.137 O
0.432 0.932 0.137 O
0.568 0.068 0.863 O
0.068 0.568 0.863 O

***

(10)
Cs2SmTiO4, optimized geometry, DFT PBE; raw total energy = -6.509 eV per atom
1.0
-1.041 1.388 5.816
-7.156 1.218 1.596
-1.978 -11.272 5.503
Cs Sm Ti O
4 2 2 8
Direct
0.181 0.000 0.638 Cs
0.819 0.000 0.362 Cs
0.569 0.500 0.862 Cs
0.931 0.500 0.138 Cs
0.750 0.500 0.500 Sm
0.000 0.000 0.000 Sm
0.250 0.500 0.500 Ti
0.500 0.000 0.000 Ti
0.336 0.846 0.073 O
0.255 0.154 0.927 O
0.818 0.846 0.927 O
0.591 0.154 0.073 O
0.414 0.654 0.427 O
0.495 0.346 0.573 O
0.932 0.654 0.573 O
0.159 0.346 0.427 O

***

(11)
CsSmTlO3, optimized geometry, DFT PBE; raw total energy = -5.693 eV per atom
1.0
-0.904 3.530 -0.058
-8.204 -1.961 8.501
6.917 1.815 2.673
Cs Sm Tl O
2 2 2 6
Direct
0.250 0.310 0.263 Cs
0.750 0.690 0.737 Cs
0.250 0.624 0.164 Sm
0.750 0.376 0.836 Sm
0.250 0.116 0.558 Tl
0.750 0.884 0.442 Tl
0.750 0.746 0.142 O
0.250 0.254 0.858 O
0.250 0.784 0.499 O
0.750 0.216 0.501 O
0.750 0.498 0.164 O
0.250 0.502 0.836 O

***

(12)
Cs3Sm2TlO6, optimized geometry, DFT PBE; raw total energy = -5.650 eV per atom
1.0
6.295 0.001 0.000
-3.145 5.453 0.000
-1.051 -1.819 6.920
Cs Sm Tl O
3 2 1 6
Direct
0.165 0.835 0.500 Cs
0.835 0.165 0.500 Cs
0.500 0.500 0.500 Cs
0.333 0.667 0.000 Sm
0.667 0.333 0.000 Sm
0.000 0.000 0.000 Tl
0.942 0.606 0.828 O
0.720 0.720 0.173 O
0.058 0.394 0.172 O
0.606 0.942 0.828 O
0.280 0.280 0.827 O
0.394 0.058 0.172 O